## La8SmCo2 (PBE)

Data for a relaxed structure of La8SmCo2.

Summary:
Spin magnetization = 0.0 μB/cell
Energy of formation from the pure elements = 0.030 eV per atom

```
data_La8SmCo2
_space_group_name_H-M_alt 'C 1 2/m 1'
_space_group_IT_number 12
_space_group_name_Hall '-C 2y'
_cell_length_a 12.7153
_cell_length_b 8.5486
_cell_length_c 7.2582
_cell_angle_alpha 90.00
_cell_angle_beta 109.26
_cell_angle_gamma 90.00
loop_
_atom_site_label
_atom_site_type_symbol
_atom_site_fract_x
_atom_site_fract_y
_atom_site_fract_z
La1 La 0.1145 0.1971 0.3079
La2 La 0.1296 0.5000 0.6808
La3 La 0.1745 0.0000 0.8203
Sm1 Sm 0.0000 0.5000 0.0000
Co1 Co 0.1968 0.5000 0.3893
```